1.
Compound: V2Mo2Rh7
Source: Alexandria
Functional: PBE
Structure: optimized geometry

Unit cell a=5.8390 b=5.2258 c=5.8441 alpha=80.43 beta=101.36 gamma=99.50
Fractional positions:
Mo 0.8322 0.5002 0.8321
Mo 0.1678 0.4998 0.1679
Rh 0.4273 0.2521 0.9735
Rh 0.5727 0.7479 0.0265
Rh 0.5169 0.7570 0.4823
Rh 0.4831 0.2430 0.5177
Rh 0.9738 0.7481 0.4274
Rh 0.0000 0.0000 0.0000
Rh 0.0262 0.2519 0.5726
V 0.2541 0.8554 0.7460
V 0.7459 0.1446 0.2540

---

2.
Compound: V7Mo3Rh2
Source: Alexandria
Functional: PBE
Structure: optimized geometry

Unit cell a=4.2296 b=4.3221 c=10.2372 alpha=102.19 beta=90.00 gamma=90.00
Fractional positions:
V 0.0000 0.5730 0.1459
V 0.0000 0.7170 0.4340
V 0.0000 0.0000 0.0000
V 0.0000 0.4270 0.8541
V 0.5000 0.9234 0.8468
V 0.5000 0.0766 0.1532
V 0.0000 0.2830 0.5660
Mo 0.5000 0.5000 0.0000
Mo 0.5000 0.6532 0.3064
Mo 0.5000 0.3468 0.6936
Rh 0.0000 0.8485 0.6970
Rh 0.0000 0.1515 0.3030

---

3.
Compound: V4MoRh5
Source: Alexandria
Functional: PBE
Structure: optimized geometry

Unit cell a=2.7481 b=2.7481 c=18.4840 alpha=90.00 beta=90.00 gamma=90.00
Fractional positions:
V 0.0000 0.0000 0.4017
V 0.0000 0.0000 0.2049
V 0.0000 0.0000 0.7951
V 0.0000 0.0000 0.5983
Rh 0.5000 0.5000 0.5000
Rh 0.5000 0.5000 0.3039
Rh 0.5000 0.5000 0.1065
Rh 0.5000 0.5000 0.8935
Rh 0.5000 0.5000 0.6961
Mo 0.0000 0.0000 0.0000

---

4.
Compound: V2MoRh5
Source: Alexandria
Functional: PBE
Structure: optimized geometry

Unit cell a=2.7076 b=6.6496 c=13.8793 alpha=90.00 beta=90.00 gamma=101.75
Fractional positions:
Mo 0.1215 0.2430 0.2500
Mo 0.8785 0.7570 0.7500
Rh 0.2768 0.5536 0.4141
Rh 0.2128 0.4257 0.7500
Rh 0.7872 0.5743 0.2500
Rh 0.9622 0.9243 0.3593
Rh 0.0378 0.0757 0.6407
Rh 0.9622 0.9243 0.1407
Rh 0.7232 0.4464 0.9141
Rh 0.7232 0.4464 0.5859
Rh 0.0378 0.0757 0.8593
Rh 0.2768 0.5536 0.0859
V 0.8985 0.7969 0.9643
V 0.1015 0.2031 0.0357
V 0.8985 0.7969 0.5357
V 0.1015 0.2031 0.4643

Calculated values
Offset from the most stable computed form = 418 meV per atom

---

5.
Compound: V7Mo2Rh2
Source: Alexandria
Functional: PBE
Structure: optimized geometry

Unit cell a=5.0565 b=9.7811 c=6.4698 alpha=40.90 beta=60.60 gamma=49.50
Fractional positions:
Rh 0.5000 0.8288 0.3424
Rh 0.5000 0.1712 0.6576
V 0.3508 0.3464 0.0000
V 0.1751 0.5837 0.4802
V 0.1751 0.0639 0.5198
V 0.8249 0.9361 0.4802
V 0.0000 0.0000 0.0000
V 0.6492 0.6536 0.0000
V 0.8249 0.4163 0.5198
Mo 0.1236 0.6806 0.0000
Mo 0.8764 0.3194 0.0000

---

6.
Compound: VMo2Rh9
Source: Alexandria
Functional: PBE
Structure: optimized geometry

Unit cell a=3.8475 b=3.8475 c=11.5430 alpha=90.00 beta=90.00 gamma=90.00
Fractional positions:
Rh 0.0000 0.5000 0.8355
Rh 0.0000 0.5000 0.1645
Rh 0.5000 0.5000 0.6670
Rh 0.5000 0.0000 0.8355
Rh 0.5000 0.0000 0.5000
Rh 0.5000 0.5000 0.3330
Rh 0.0000 0.5000 0.5000
Rh 0.5000 0.0000 0.1645
Rh 0.5000 0.5000 0.0000
Mo 0.0000 0.0000 0.3301
Mo 0.0000 0.0000 0.6699
V 0.0000 0.0000 0.0000

---

Across the entries above, D(E_F) takes the values 9.83, 11.28, 14.98, 15.70, 13.89, 7.21 states/eV/cell, respectively.
Across the entries above, formation energy takes the values 0.061, 0.120, -0.323, 0.108, 0.191, -0.259 eV per atom, respectively.